Computed, not measured: a geometry-optimized La14PuAl structure at the PBE level of DFT.

extended XYZ file:
```
16
Lattice="10.303 0.000 0.000 0.000 5.136 5.136 0.000 -5.136 5.136" Properties=species:S:1:pos:R:3 pbc="T T T"
La 0.000 0.000 0.000
La 0.000 -2.492 2.544
La 0.000 2.492 2.544
La 0.000 0.000 5.095
La 2.649 0.000 7.769
La 2.745 -2.620 5.117
La 2.745 2.620 5.117
La 2.830 0.000 2.514
La 5.151 -2.458 7.647
La 5.151 2.458 7.647
La 7.472 0.000 2.514
La 7.558 -2.620 5.117
La 7.558 2.620 5.117
La 7.654 0.000 7.769
Pu 5.151 0.000 5.106
Al 5.151 0.000 10.227
```

Results
Fermi-level density of states   25.6 states/eV/f.u.
Energy relative to the elements   -0.013 eV/atom
Space group   Amm2 (38)
Total moment   6.67 μB per formula unit